Record 1
ZrGa2Pb: optimized geometry, PBE.

Lattice parameters (Å, degrees): 7.1471 7.1471 7.1471 90.00 90.00 90.00
Closest atoms and distances in Å follow each position.
Fractional positions:
Zr (0.0000, 0.0000, 0.0000)  4 Pb 3.09, 4 Ga 3.09
Zr (0.0000, 0.5000, 0.5000)  4 Pb 3.09, 4 Ga 3.09
Zr (0.5000, 0.0000, 0.5000)  4 Pb 3.09, 4 Ga 3.09
Zr (0.5000, 0.5000, 0.0000)  4 Pb 3.09, 4 Ga 3.09
Ga (0.0000, 0.0000, 0.5000)  4 Pb 3.09, 4 Ga 3.09
Ga (0.0000, 0.5000, 0.0000)  4 Pb 3.09, 4 Ga 3.09
Ga (0.2500, 0.2500, 0.2500)  4 Zr 3.09, 4 Ga 3.09
Ga (0.2500, 0.7500, 0.7500)  4 Zr 3.09, 4 Ga 3.09
Ga (0.5000, 0.0000, 0.0000)  4 Pb 3.09, 4 Ga 3.09
Ga (0.5000, 0.5000, 0.5000)  4 Pb 3.09, 4 Ga 3.09
Ga (0.7500, 0.2500, 0.7500)  4 Zr 3.09, 4 Ga 3.09
Ga (0.7500, 0.7500, 0.2500)  4 Zr 3.09, 4 Ga 3.09
Pb (0.2500, 0.2500, 0.7500)  4 Zr 3.09, 4 Ga 3.09
Pb (0.2500, 0.7500, 0.2500)  4 Zr 3.09, 4 Ga 3.09
Pb (0.7500, 0.2500, 0.2500)  4 Zr 3.09, 4 Ga 3.09
Pb (0.7500, 0.7500, 0.7500)  4 Zr 3.09, 4 Ga 3.09

## Properties
* space-group type: No. 216
* final energy: -4.357 eV per atom

---

Record 2
Zr5GaPb3: optimized geometry, PBE.

Lattice parameters (Å, degrees): 8.8401 8.8401 5.9676 90.00 90.00 120.00
Closest atoms and distances in Å follow each position.
Fractional positions:
Zr (0.0000, 0.2636, 0.2500)  2 Ga 2.77, 3 Pb 3.03-3.08
Zr (0.0000, 0.7364, 0.7500)  2 Ga 2.77, 3 Pb 3.03-3.08
Zr (0.2636, 0.0000, 0.2500)  2 Ga 2.77, 3 Pb 3.03-3.08
Zr (0.2636, 0.2636, 0.7500)  2 Ga 2.77, 3 Pb 3.03-3.08
Zr (0.3333, 0.6667, 0.0000)  2 Zr 2.98, 6 Pb 3.12
Zr (0.3333, 0.6667, 0.5000)  2 Zr 2.98, 6 Pb 3.12
Zr (0.6667, 0.3333, 0.0000)  2 Zr 2.98, 6 Pb 3.12
Zr (0.6667, 0.3333, 0.5000)  2 Zr 2.98, 6 Pb 3.12
Zr (0.7364, 0.0000, 0.7500)  2 Ga 2.77, 3 Pb 3.03-3.08
Zr (0.7364, 0.7364, 0.2500)  2 Ga 2.77, 3 Pb 3.03-3.08
Ga (0.0000, 0.0000, 0.0000)  6 Zr 2.77, 2 Ga 2.98
Ga (0.0000, 0.0000, 0.5000)  6 Zr 2.77, 2 Ga 2.98
Pb (0.0000, 0.3881, 0.7500)  9 Zr 3.03-3.18
Pb (0.0000, 0.6119, 0.2500)  9 Zr 3.03-3.18
Pb (0.3881, 0.0000, 0.7500)  9 Zr 3.03-3.18
Pb (0.3881, 0.3881, 0.2500)  9 Zr 3.03-3.18
Pb (0.6119, 0.0000, 0.2500)  9 Zr 3.03-3.18
Pb (0.6119, 0.6119, 0.7500)  9 Zr 3.03-3.18

## Properties
* space-group type: No. 193
* final energy: -6.729 eV per atom

---

Record 3
Ga2Pd5: optimized geometry, PBE.

Lattice parameters (Å, degrees): 5.5139 4.1228 18.6501 90.00 90.00 90.00
Closest atoms and distances in Å follow each position.
Fractional positions:
Ga (0.1683, 0.2500, 0.1766)  8 Pd 2.56-2.77
Ga (0.2025, 0.2500, 0.4563)  7 Pd 2.55-2.63
Ga (0.2975, 0.7500, 0.9563)  7 Pd 2.55-2.63
Ga (0.3317, 0.7500, 0.6766)  8 Pd 2.56-2.77
Ga (0.6683, 0.2500, 0.3234)  8 Pd 2.56-2.77
Ga (0.7025, 0.2500, 0.0437)  7 Pd 2.55-2.63
Ga (0.7975, 0.7500, 0.5437)  7 Pd 2.55-2.63
Ga (0.8317, 0.7500, 0.8234)  8 Pd 2.56-2.77
Pd (0.0323, 0.2500, 0.5881)  3 Ga 2.57-2.63, 5 Pd 2.78-2.85
Pd (0.0335, 0.2500, 0.8820)  4 Ga 2.58-2.88, 8 Pd 2.81-2.88
Pd (0.1356, 0.2500, 0.7337)  2 Ga 2.56, 8 Pd 2.78-2.84
Pd (0.1668, 0.2500, 0.3201)  4 Ga 2.55-2.77, 4 Pd 2.83-2.84
Pd (0.1698, 0.2500, 0.0307)  4 Ga 2.58-2.72, 5 Pd 2.85-2.87
Pd (0.3302, 0.7500, 0.5307)  4 Ga 2.58-2.72, 5 Pd 2.85-2.87
Pd (0.3332, 0.7500, 0.8201)  4 Ga 2.55-2.77, 4 Pd 2.83-2.84
Pd (0.3644, 0.7500, 0.2337)  2 Ga 2.56, 8 Pd 2.78-2.84
Pd (0.4665, 0.7500, 0.3820)  4 Ga 2.58-2.88, 8 Pd 2.81-2.88
Pd (0.4677, 0.7500, 0.0881)  3 Ga 2.57-2.63, 5 Pd 2.78-2.85
Pd (0.5323, 0.2500, 0.9119)  3 Ga 2.57-2.63, 5 Pd 2.78-2.85
Pd (0.5335, 0.2500, 0.6180)  4 Ga 2.58-2.88, 8 Pd 2.81-2.88
Pd (0.6356, 0.2500, 0.7663)  2 Ga 2.56, 8 Pd 2.78-2.84
Pd (0.6668, 0.2500, 0.1799)  4 Ga 2.55-2.77, 4 Pd 2.83-2.84
Pd (0.6698, 0.2500, 0.4693)  4 Ga 2.58-2.72, 5 Pd 2.85-2.87
Pd (0.8302, 0.7500, 0.9693)  4 Ga 2.58-2.72, 5 Pd 2.85-2.87
Pd (0.8332, 0.7500, 0.6799)  4 Ga 2.55-2.77, 4 Pd 2.83-2.84
Pd (0.8644, 0.7500, 0.2663)  2 Ga 2.56, 8 Pd 2.78-2.84
Pd (0.9665, 0.7500, 0.1180)  4 Ga 2.58-2.88, 8 Pd 2.81-2.88
Pd (0.9677, 0.7500, 0.4119)  3 Ga 2.57-2.63, 5 Pd 2.78-2.85

## Properties
* space-group type: No. 62
* final energy: -5.133 eV per atom